Record 1
DFT (PBE) results for a geometry-optimized ReBPt3 structure.

a b c (Å): 4.204 4.204 4.204
angles (deg): 90.00 90.00 90.00
Positions (direct):
Re (0.000, 0.000, 0.000)
B (0.500, 0.500, 0.500)
Pt (0.000, 0.500, 0.500)
Pt (0.500, 0.000, 0.500)
Pt (0.500, 0.500, 0.000)

Output
energy of formation from the pure elements	527	meV/atom
distance to the lowest polymorph of the same formula	0	meV/atom



Record 2
DFT (PBE) results for a geometry-optimized Re2BPtS structure.

a b c (Å): 4.466 4.466 3.610
angles (deg): 90.00 90.00 90.00
Positions (direct):
Re (0.000, 0.500, 0.000)
Re (0.500, 0.000, 0.000)
B (0.000, 0.000, 0.500)
Pt (0.500, 0.500, 0.500)
S (0.000, 0.000, 0.000)

Output
raw formation energy	1289.9	meV/atom



Record 3
DFT (PBE) results for a geometry-optimized ReSiBPt2 structure.

a b c (Å): 4.088 4.088 4.275
angles (deg): 90.00 90.00 90.00
Positions (direct):
Re (0.000, 0.000, 0.000)
Si (0.500, 0.500, 0.000)
B (0.500, 0.500, 0.500)
Pt (0.000, 0.500, 0.500)
Pt (0.500, 0.000, 0.500)

Output
raw formation energy	657.4	meV/atom



Record 4
DFT (PBE) results for a geometry-optimized BPtRh3 structure.

a b c (Å): 4.088 4.088 4.088
angles (deg): 90.00 90.00 90.00
Positions (direct):
B (0.000, 0.000, 0.000)
Pt (0.500, 0.500, 0.500)
Rh (0.000, 0.000, 0.500)
Rh (0.000, 0.500, 0.000)
Rh (0.500, 0.000, 0.000)

Output
energy of formation from the pure elements	55	meV/atom
distance to the lowest polymorph of the same formula	187	meV/atom



Record 5
DFT (PBE) results for a geometry-optimized BPtRh3 structure.

a b c (Å): 4.783 4.783 4.783
angles (deg): 90.00 90.00 90.00
Positions (direct):
B (0.000, 0.000, 0.000)
Pt (0.500, 0.500, 0.500)
Rh (0.000, 0.500, 0.500)
Rh (0.500, 0.000, 0.500)
Rh (0.500, 0.500, 0.000)

Output
energy of formation from the pure elements	2252	meV/atom
distance to the lowest polymorph of the same formula	2384	meV/atom



Record 6
DFT (PBE) results for a geometry-optimized B2PtRh2 structure.

a b c (Å): 5.411 5.411 5.574
angles (deg): 118.93 118.93 59.59
Positions (direct):
B (0.244, 0.756, 0.500)
B (0.394, 0.890, 0.928)
B (0.756, 0.244, 0.000)
B (0.890, 0.394, 0.428)
Pt (0.318, 0.460, 0.716)
Pt (0.460, 0.318, 0.216)
Rh (0.174, 0.963, 0.214)
Rh (0.675, 0.818, 0.714)
Rh (0.818, 0.675, 0.214)
Rh (0.963, 0.174, 0.714)

Output
energy of formation from the pure elements	-289	meV/atom
distance to the lowest polymorph of the same formula	0	meV/atom



Record 7
DFT (PBE) results for a geometry-optimized B4Pt3Rh2 structure.

a b c (Å): 5.347 5.347 8.004
angles (deg): 125.64 125.64 36.46
Positions (direct):
B (0.123, 0.123, 0.428)
B (0.242, 0.242, 0.170)
B (0.758, 0.758, 0.830)
B (0.877, 0.877, 0.572)
Pt (0.355, 0.355, 0.749)
Pt (0.500, 0.500, 0.500)
Pt (0.645, 0.645, 0.251)
Rh (0.131, 0.131, 0.841)
Rh (0.869, 0.869, 0.159)

Output
energy of formation from the pure elements	-95	meV/atom



Record 8
DFT (PBE) results for a geometry-optimized B2PtRh2 structure.

a b c (Å): 6.373 6.373 2.747
angles (deg): 90.00 90.00 90.00
Positions (direct):
B (0.151, 0.349, 0.000)
B (0.349, 0.849, 0.000)
B (0.651, 0.151, 0.000)
B (0.849, 0.651, 0.000)
Pt (0.000, 0.000, 0.000)
Pt (0.500, 0.500, 0.000)
Rh (0.148, 0.648, 0.500)
Rh (0.352, 0.148, 0.500)
Rh (0.648, 0.852, 0.500)
Rh (0.852, 0.352, 0.500)

Output
energy of formation from the pure elements	-72	meV/atom
distance to the lowest polymorph of the same formula	217	meV/atom



Record 9
DFT (PBE) results for a geometry-optimized B3Pt5Rh structure.

a b c (Å): 5.966 5.966 7.760
angles (deg): 108.79 108.79 73.00
Positions (direct):
B (0.000, 0.000, 0.000)
B (0.000, 0.000, 0.500)
B (0.328, 0.328, 0.335)
B (0.333, 0.333, 0.832)
B (0.667, 0.667, 0.168)
B (0.672, 0.672, 0.665)
Pt (0.033, 0.632, 0.334)
Pt (0.233, 0.233, 0.032)
Pt (0.299, 0.701, 0.000)
Pt (0.368, 0.967, 0.666)
Pt (0.436, 0.436, 0.635)
Pt (0.564, 0.564, 0.365)
Pt (0.632, 0.033, 0.334)
Pt (0.701, 0.299, 0.000)
Pt (0.767, 0.767, 0.968)
Pt (0.967, 0.368, 0.666)
Rh (0.099, 0.099, 0.299)
Rh (0.901, 0.901, 0.701)

Output
energy of formation from the pure elements	-234	meV/atom



Record 10
DFT (PBE) results for a geometry-optimized B2Pt3Rh3 structure.

a b c (Å): 5.594 5.594 11.060
angles (deg): 90.00 90.00 142.37
Positions (direct):
B (0.191, 0.809, 0.617)
B (0.191, 0.809, 0.883)
B (0.809, 0.191, 0.117)
B (0.809, 0.191, 0.383)
Pt (0.009, 0.991, 0.125)
Pt (0.009, 0.991, 0.375)
Pt (0.351, 0.649, 0.250)
Pt (0.649, 0.351, 0.750)
Pt (0.991, 0.009, 0.625)
Pt (0.991, 0.009, 0.875)
Rh (0.342, 0.658, 0.750)
Rh (0.346, 0.654, 0.003)
Rh (0.346, 0.654, 0.497)
Rh (0.654, 0.346, 0.503)
Rh (0.654, 0.346, 0.997)
Rh (0.658, 0.342, 0.250)

Output
energy of formation from the pure elements	-204	meV/atom



Record 11
DFT (PBE) results for a geometry-optimized B4Pt5Rh2 structure.

a b c (Å): 7.047 7.047 7.955
angles (deg): 93.67 93.67 25.51
Positions (direct):
B (0.028, 0.028, 0.316)
B (0.340, 0.340, 0.015)
B (0.660, 0.660, 0.985)
B (0.972, 0.972, 0.684)
Pt (0.119, 0.119, 0.808)
Pt (0.211, 0.211, 0.167)
Pt (0.500, 0.500, 0.500)
Pt (0.789, 0.789, 0.833)
Pt (0.881, 0.881, 0.192)
Rh (0.454, 0.454, 0.840)
Rh (0.546, 0.546, 0.160)

Output
energy of formation from the pure elements	-93	meV/atom



Record 12
DFT (PBE) results for a geometry-optimized BPtRh3 structure.

a b c (Å): 4.878 4.878 9.874
angles (deg): 100.55 100.55 35.20
Positions (direct):
B (0.249, 0.249, 0.363)
B (0.751, 0.751, 0.637)
Pt (0.372, 0.372, 0.060)
Pt (0.628, 0.628, 0.940)
Rh (0.115, 0.115, 0.171)
Rh (0.121, 0.121, 0.701)
Rh (0.380, 0.380, 0.566)
Rh (0.620, 0.620, 0.434)
Rh (0.879, 0.879, 0.299)
Rh (0.885, 0.885, 0.829)

Output
energy of formation from the pure elements	-132	meV/atom
distance to the lowest polymorph of the same formula	0	meV/atom



Record 13
DFT (PBE) results for a geometry-optimized B2PtRh2 structure.

a b c (Å): 7.521 7.521 7.521
angles (deg): 158.24 158.24 30.97
Positions (direct):
B (0.250, 0.750, 0.500)
B (0.750, 0.250, 0.500)
Pt (0.000, 0.000, 0.000)
Rh (0.358, 0.358, 0.000)
Rh (0.642, 0.642, 0.000)

Output
energy of formation from the pure elements	-194	meV/atom
distance to the lowest polymorph of the same formula	95	meV/atom



Record 14
DFT (PBE) results for a geometry-optimized B3Pt3Rh structure.

a b c (Å): 6.482 6.482 6.482
angles (deg): 56.68 56.68 56.68
Positions (direct):
B (0.049, 0.786, 0.431)
B (0.214, 0.569, 0.951)
B (0.431, 0.049, 0.786)
B (0.569, 0.951, 0.214)
B (0.786, 0.431, 0.049)
B (0.951, 0.214, 0.569)
Pt (0.097, 0.385, 0.695)
Pt (0.305, 0.903, 0.615)
Pt (0.385, 0.695, 0.097)
Pt (0.615, 0.305, 0.903)
Pt (0.695, 0.097, 0.385)
Pt (0.903, 0.615, 0.305)
Rh (0.166, 0.166, 0.166)
Rh (0.834, 0.834, 0.834)

Output
energy of formation from the pure elements	-154	meV/atom



Record 15
DFT (PBE) results for a geometry-optimized B3PtRh5 structure.

a b c (Å): 5.857 5.857 7.698
angles (deg): 110.17 110.17 74.02
Positions (direct):
B (0.000, 0.000, 0.000)
B (0.000, 0.000, 0.500)
B (0.331, 0.331, 0.338)
B (0.334, 0.334, 0.830)
B (0.666, 0.666, 0.170)
B (0.669, 0.669, 0.662)
Pt (0.236, 0.236, 0.031)
Pt (0.764, 0.764, 0.969)
Rh (0.037, 0.629, 0.337)
Rh (0.097, 0.097, 0.301)
Rh (0.296, 0.704, 0.000)
Rh (0.371, 0.963, 0.663)
Rh (0.435, 0.435, 0.638)
Rh (0.565, 0.565, 0.362)
Rh (0.629, 0.037, 0.337)
Rh (0.704, 0.296, 0.000)
Rh (0.903, 0.903, 0.699)
Rh (0.963, 0.371, 0.663)

Output
energy of formation from the pure elements	-182	meV/atom



Record 16
DFT (PBE) results for a geometry-optimized B3Pt7Rh structure.

a b c (Å): 5.738 5.738 5.140
angles (deg): 106.57 106.57 69.90
Positions (direct):
B (0.000, 0.000, 0.000)
B (0.483, 0.981, 0.987)
B (0.981, 0.483, 0.987)
Pt (0.104, 0.628, 0.724)
Pt (0.121, 0.121, 0.710)
Pt (0.347, 0.347, 0.251)
Pt (0.363, 0.834, 0.251)
Pt (0.604, 0.604, 0.739)
Pt (0.628, 0.104, 0.724)
Pt (0.834, 0.363, 0.251)
Rh (0.853, 0.853, 0.235)

Output
energy of formation from the pure elements	-184	meV/atom



Record 17
DFT (PBE) results for a geometry-optimized BPtRh3 structure.

a b c (Å): 5.420 5.420 6.077
angles (deg): 115.42 115.42 60.60
Positions (direct):
B (0.000, 0.000, 0.000)
B (0.745, 0.745, 0.486)
Pt (0.260, 0.260, 0.171)
Pt (0.509, 0.509, 0.672)
Rh (0.007, 0.007, 0.656)
Rh (0.055, 0.546, 0.785)
Rh (0.297, 0.793, 0.290)
Rh (0.546, 0.055, 0.785)
Rh (0.754, 0.754, 0.151)
Rh (0.793, 0.297, 0.290)

Output
energy of formation from the pure elements	-81	meV/atom
distance to the lowest polymorph of the same formula	51	meV/atom



Record 18
DFT (PBE) results for a geometry-optimized B2Pt2Rh3 structure.

a b c (Å): 4.784 4.784 7.237
angles (deg): 109.33 109.33 34.58
Positions (direct):
B (0.152, 0.152, 0.224)
B (0.848, 0.848, 0.776)
Pt (0.173, 0.173, 0.791)
Pt (0.827, 0.827, 0.209)
Rh (0.390, 0.390, 0.587)
Rh (0.500, 0.500, 0.000)
Rh (0.610, 0.610, 0.413)

Output
energy of formation from the pure elements	-212	meV/atom



Record 19
DFT (PBE) results for a geometry-optimized BSbPtRh2 structure.

a b c (Å): 4.227 4.227 4.249
angles (deg): 90.00 90.00 90.00
Positions (direct):
B (0.000, 0.000, 0.000)
Sb (0.500, 0.500, 0.500)
Pt (0.000, 0.000, 0.500)
Rh (0.000, 0.500, 0.000)
Rh (0.500, 0.000, 0.000)

Output
raw formation energy	-111.7	meV/atom



Record 20
DFT (PBE) results for a geometry-optimized Sc2B2PtRh5 structure.

a b c (Å): 9.332 9.332 3.176
angles (deg): 90.00 90.00 90.00
Positions (direct):
Sc (0.177, 0.323, 0.000)
Sc (0.323, 0.823, 0.000)
Sc (0.677, 0.177, 0.000)
Sc (0.823, 0.677, 0.000)
B (0.124, 0.624, 0.000)
B (0.376, 0.124, 0.000)
B (0.624, 0.876, 0.000)
B (0.876, 0.376, 0.000)
Pt (0.000, 0.000, 0.000)
Pt (0.500, 0.500, 0.000)
Rh (0.000, 0.500, 0.500)
Rh (0.072, 0.777, 0.500)
Rh (0.223, 0.072, 0.500)
Rh (0.277, 0.572, 0.500)
Rh (0.428, 0.277, 0.500)
Rh (0.500, 0.000, 0.500)
Rh (0.572, 0.723, 0.500)
Rh (0.723, 0.428, 0.500)
Rh (0.777, 0.928, 0.500)
Rh (0.928, 0.223, 0.500)

Output
energy of formation from the pure elements	-701	meV/atom